(1)
Below is a PBEsol-optimized structure of Hg4P2O7, with properties calculated at the SCAN level.

```
data_Hg4P2O7
_cell_length_a 9.1113
_cell_length_b 4.9082
_cell_length_c 12.1353
_cell_angle_alpha 90.00
_cell_angle_beta 128.37
_cell_angle_gamma 90.00
_space_group_name_H-M_alt 'P 1 2/c 1'
_space_group_IT_number 13
loop_
_space_group_symop_operation_xyz
'x,y,z'
'-x,-y,-z'
'-x,y,-z+1/2'
'x,-y,z+1/2'
loop_
_atom_site_label
_atom_site_fract_x
_atom_site_fract_y
_atom_site_fract_z
Hg1 0.0634 0.0579 0.3784
Hg2 0.4153 0.1747 0.9010
P1 0.2928 0.4024 0.1436
O1 0.1630 0.1533 0.0771
O2 0.2493 0.4519 0.7324
O3 0.2939 0.4212 0.5411
O4 0.5000 0.2649 0.2500
```

Raw formation energy ... -1.5087 eV per atom



(2)
Below is a PBEsol-optimized structure of Fe2AgTe, with properties calculated at the SCAN level.

```
data_Fe2AgTe
_cell_length_a 3.8691
_cell_length_b 3.8691
_cell_length_c 8.2219
_cell_angle_alpha 90.00
_cell_angle_beta 90.00
_cell_angle_gamma 90.00
_space_group_name_H-M_alt 'I -4 m 2'
_space_group_IT_number 119
_space_group_name_Hall 'I -4 -2'
loop_
_atom_site_label
_atom_site_fract_x
_atom_site_fract_y
_atom_site_fract_z
Fe1 0.0000 0.0000 0.0000
Fe2 0.0000 0.5000 0.2500
Ag1 0.0000 0.5000 0.7500
Te1 0.0000 0.0000 0.5000
```

Raw formation energy ... 0.4212 eV per atom



(3)
Below is a PBEsol-optimized structure of SrBSeBr2, with properties calculated at the SCAN level.

```
data_SrBSeBr2
_cell_length_a 5.7515
_cell_length_b 5.7515
_cell_length_c 5.9411
_cell_angle_alpha 90.00
_cell_angle_beta 90.00
_cell_angle_gamma 90.00
_space_group_name_H-M_alt 'P 4/m m m'
_space_group_IT_number 123
_space_group_name_Hall '-P 4 2'
loop_
_atom_site_label
_atom_site_fract_x
_atom_site_fract_y
_atom_site_fract_z
Sr1 0.0000 0.0000 0.0000
B1 0.5000 0.5000 0.5000
Se1 0.0000 0.0000 0.5000
Br1 0.0000 0.5000 0.0000
```

Raw formation energy ... 0.2087 eV per atom



(4)
Below is a PBEsol-optimized structure of Li4Mn3SnP4O16, with properties calculated at the SCAN level.

```
data_Li4Mn3SnP4O16
_cell_length_a 4.7622
_cell_length_b 6.0720
_cell_length_c 10.9108
_cell_angle_alpha 90.00
_cell_angle_beta 92.77
_cell_angle_gamma 90.00
_space_group_name_H-M_alt 'P 1 m 1'
_space_group_IT_number 6
loop_
_space_group_symop_operation_xyz
'x,y,z'
'x,-y,z'
loop_
_atom_site_label
_atom_site_fract_x
_atom_site_fract_y
_atom_site_fract_z
Li1 0.0000 0.2413 0.0000
Li2 0.4450 0.2542 0.5255
Mn1 0.4524 0.0000 0.7895
Mn2 0.9362 0.5000 0.7287
Mn3 0.9398 0.0000 0.3141
Sn1 0.4649 0.5000 0.2273
P1 0.0191 0.5000 0.4402
P2 0.3952 0.5000 0.9044
P3 0.5873 0.0000 0.0898
P4 0.8663 0.0000 0.6083
O1 0.1280 0.2922 0.3718
O2 0.1738 0.5000 0.5689
O3 0.1879 0.0000 0.6112
O4 0.2594 0.2957 0.8375
O5 0.2675 0.0000 0.0880
O6 0.2692 0.5000 0.0335
O7 0.6990 0.5000 0.4475
O8 0.7065 0.0000 0.9596
O9 0.7164 0.5000 0.9068
O10 0.7224 0.0000 0.4769
O11 0.7264 0.2001 0.1622
O12 0.7403 0.2018 0.6764
```

Raw formation energy ... -2.3992 eV per atom



(5)
Below is a PBEsol-optimized structure of SrMg2In, with properties calculated at the SCAN level.

```
data_SrMg2In
_cell_length_a 4.7112
_cell_length_b 4.7112
_cell_length_c 5.0012
_cell_angle_alpha 90.00
_cell_angle_beta 90.00
_cell_angle_gamma 90.00
_space_group_name_H-M_alt 'P 4/m m m'
_space_group_IT_number 123
_space_group_name_Hall '-P 4 2'
loop_
_atom_site_label
_atom_site_fract_x
_atom_site_fract_y
_atom_site_fract_z
Sr1 0.0000 0.0000 0.0000
Mg1 0.0000 0.5000 0.5000
In1 0.5000 0.5000 0.0000
```

Formation energy from the elements ... -0.17 eV/atom



(6)
Below is a PBEsol-optimized structure of CsCd3H, with properties calculated at the SCAN level.

```
data_CsCd3H
_cell_length_a 5.1385
_cell_length_b 5.1385
_cell_length_c 5.1385
_cell_angle_alpha 90.00
_cell_angle_beta 90.00
_cell_angle_gamma 90.00
_space_group_name_H-M_alt 'P m -3 m'
_space_group_IT_number 221
_space_group_name_Hall '-P 4 2 3'
loop_
_atom_site_label
_atom_site_fract_x
_atom_site_fract_y
_atom_site_fract_z
Cs1 0.0000 0.0000 0.0000
Cd1 0.0000 0.5000 0.5000
H1 0.5000 0.5000 0.5000
```



Computed M_tot, in the same sequence as the records: 0.0; 11.5; 1.0; 15.0; 0.0; 0.0 μB per cell.
Computed VASP energy, in the same sequence as the records: -27.4379; -25.7981; -17.5318; -11.0257; -16.5706; -26.0868 eV/atom.